Y2Si2Sb: relaxed, GGA-PBE.

Computed properties:
Size of the total moment   0.00 μB/f.u.
Uncorrected formation energy   -0.66 eV/atom

a = 7.432 Å, b = 7.432 Å, c = 4.097 Å
α = 90.00°, β = 90.00°, γ = 90.00°
Space group P4/mbm (No. 127)
Unique sites:
1 Y 0.181 0.319 0.000 (multiplicity 4)
2 Si 0.112 0.612 0.500 (multiplicity 4)
3 Sb 0.000 0.000 0.500 (multiplicity 2)